Entry 1:
An optimized crystal structure of K2SiTc. Source: Alexandria via LeMat-Bulk, functional PBE.

## Properties
VASP energy: -13.92 eV for the cell shown
formation energy (no corrections): 1.01 eV per atom

abc: 5.0915 6.3880 2.8954
angles: 81.48 78.64 110.73
Closest atoms and distances in Å follow each position.
Atoms (fractional coordinates):
K1 0.5000 0.0000 0.5000  4 K 2.67-2.90
K2 0.0000 0.0000 0.0000  4 K 2.67-2.90
Tc1 0.5000 0.5000 0.0000  2 Si 2.67, 2 Tc 2.90
Si1 0.0000 0.5000 0.5000  2 Tc 2.67, 2 Si 2.90

Entry 2:
An optimized crystal structure of ScUTiO6. Source: Alexandria via LeMat-Bulk, functional PBE.

## Properties
VASP energy: -167.34 eV for the cell shown
formation energy (no corrections): -3.16 eV per atom

abc: 5.3816 5.3816 9.0261
angles: 90.00 90.00 120.00
Closest atoms and distances in Å follow each position.
Atoms (fractional coordinates):
Sc1 0.0000 0.0000 0.0000  6 O 2.19
Sc2 0.0000 0.0000 0.5000  6 O 2.19
O1 0.9775 0.3286 0.6321  1 Ti 1.99, 1 U 2.15, 1 Sc 2.19
O2 0.3511 0.0225 0.6321  1 Ti 1.99, 1 U 2.15, 1 Sc 2.19
O3 0.6714 0.0225 0.8679  1 Ti 1.99, 1 U 2.15, 1 Sc 2.19
O4 0.9775 0.6489 0.8679  1 Ti 1.99, 1 U 2.15, 1 Sc 2.19
O5 0.0225 0.3511 0.1321  1 Ti 1.99, 1 U 2.15, 1 Sc 2.19
O6 0.6714 0.6489 0.6321  1 Ti 1.99, 1 U 2.15, 1 Sc 2.19
O7 0.3286 0.9775 0.1321  1 Ti 1.99, 1 U 2.15, 1 Sc 2.19
O8 0.0225 0.6714 0.3679  1 Ti 1.99, 1 U 2.15, 1 Sc 2.19
O9 0.6489 0.6714 0.1321  1 Ti 1.99, 1 U 2.15, 1 Sc 2.19
O10 0.3511 0.3286 0.8679  1 Ti 1.99, 1 U 2.15, 1 Sc 2.19
O11 0.3286 0.3511 0.3679  1 Ti 1.99, 1 U 2.15, 1 Sc 2.19
O12 0.6489 0.9775 0.3679  1 Ti 1.99, 1 U 2.15, 1 Sc 2.19
U1 0.6667 0.3333 0.2500  6 O 2.15
U2 0.3333 0.6667 0.7500  6 O 2.15
Ti1 0.3333 0.6667 0.2500  6 O 1.99
Ti2 0.6667 0.3333 0.7500  6 O 1.99

Entry 3:
An optimized crystal structure of Li3Cd7Ag. Source: Alexandria via LeMat-Bulk, functional PBE.

## Properties
ΔH_f (0 K): -0.136 eV per atom
VASP energy: -32.98 eV for the cell shown

abc: 3.1344 13.5825 10.5642
angles: 90.00 90.00 96.63
Closest atoms and distances in Å follow each position.
Atoms (fractional coordinates):
Cd1 0.7756 0.5513 0.6054  2 Li 2.92, 9 Cd 3.05-3.23
Cd2 0.4720 0.9441 0.1131  4 Cd 2.83-3.13, 2 Ag 2.94, 4 Li 2.97-2.99
Cd3 0.6458 0.2916 0.5452  2 Ag 2.91, 5 Cd 3.08-3.13, 4 Li 3.08-3.10
Cd4 0.5280 0.0559 0.6131  4 Cd 2.83-3.13, 2 Ag 2.94, 4 Li 2.97-2.99
Cd5 0.5280 0.0559 0.8869  4 Cd 2.83-3.13, 2 Ag 2.94, 4 Li 2.97-2.99
Cd6 0.2244 0.4487 0.1054  2 Li 2.92, 9 Cd 3.05-3.23
Cd7 0.2244 0.4487 0.3946  2 Li 2.92, 9 Cd 3.05-3.23
Cd8 0.7756 0.5513 0.8946  2 Li 2.92, 9 Cd 3.05-3.23
Cd9 0.6458 0.2915 0.9548  2 Ag 2.91, 5 Cd 3.08-3.13, 4 Li 3.08-3.10
Cd10 0.3637 0.7275 0.7500  4 Li 2.89, 8 Cd 3.13-3.23
Cd11 0.3542 0.7084 0.0452  2 Ag 2.91, 5 Cd 3.08-3.13, 4 Li 3.08-3.10
Cd12 0.6363 0.2725 0.2500  4 Li 2.89, 8 Cd 3.13-3.23
Cd13 0.3542 0.7084 0.4548  2 Ag 2.91, 5 Cd 3.08-3.13, 4 Li 3.08-3.10
Cd14 0.4720 0.9441 0.3869  4 Cd 2.83-3.13, 2 Ag 2.94, 4 Li 2.97-2.99
Li1 0.0665 0.1331 0.3961  8 Cd 2.89-3.08, 3 Li 3.09-3.13
Li2 0.7959 0.5918 0.2500  1 Ag 2.73, 4 Cd 2.92
Li3 0.9335 0.8669 0.8961  8 Cd 2.89-3.08, 3 Li 3.09-3.13
Li4 0.0665 0.1331 0.1039  8 Cd 2.89-3.08, 3 Li 3.09-3.13
Li5 0.2041 0.4082 0.7500  1 Ag 2.73, 4 Cd 2.92
Li6 0.9335 0.8669 0.6039  8 Cd 2.89-3.08, 3 Li 3.09-3.13
Ag1 0.8969 0.7938 0.2500  1 Li 2.73, 8 Cd 2.91-2.94
Ag2 0.1031 0.2062 0.7500  1 Li 2.73, 8 Cd 2.91-2.94

Entry 4:
An optimized crystal structure of Tb2CeTl. Source: Alexandria via LeMat-Bulk, functional PBE.

## Properties
ΔH_f (0 K): -0.140 eV per atom
VASP energy: -18.12 eV for the cell shown

abc: 3.5904 3.5904 8.9985
angles: 90.00 90.00 90.00
Closest atoms and distances in Å follow each position.
Atoms (fractional coordinates):
Tb1 0.0000 0.0000 0.2364  4 Tl 3.31, 4 Ce 3.47, 4 Tb 3.59
Tb2 0.0000 0.0000 0.7636  4 Tl 3.31, 4 Ce 3.47, 4 Tb 3.59
Tl1 0.5000 0.5000 0.0000  8 Tb 3.31, 4 Tl 3.59
Ce1 0.5000 0.5000 0.5000  8 Tb 3.47, 4 Ce 3.59